An optimized crystal structure of LiScAu3, computed with PBE.

Results
For the magnetic moment, the calculation gives 0.00 μB per cell. Its density of states at the Fermi level is 2.145 states/eV/f.u. The value obtained for the energy of formation from the pure elements is 106 meV per atom. For the total DFT energy (no corrections), the calculation gives -3.5095 eV per atom.

Cell: 5.1891 5.1891 5.1891 Å, 90.00 90.00 90.00°
Last column: nearest neighbours and their distance in Å.
Space group Pm-3m (No. 221)
Inequivalent atoms, fractional coordinates:
Li 0.0000 0.0000 0.0000 (multiplicity 1)  12 Au 3.67
Sc 0.5000 0.5000 0.5000 (multiplicity 1)  6 Au 2.59
Au 0.0000 0.5000 0.5000 (multiplicity 3)  2 Sc 2.59